Ba3Al2VO8 | GGA+U | optimized geometry

Structure (POSCAR):
```
Ba3Al2VO8
1.0
5.6749 0.0000 0.0000
-2.8374 4.9146 0.0000
0.0000 0.0000 7.4225
Ba Al V O
3 2 1 8
Direct
0.0000 0.0000 0.0000
0.3333 0.6667 0.6785
0.6667 0.3333 0.3215
0.3333 0.6667 0.2442
0.6667 0.3333 0.7558
0.0000 0.0000 0.5000
0.1645 0.3289 0.3414
0.1645 0.8355 0.3414
0.3289 0.1645 0.6586
0.3333 0.6667 0.0137
0.6667 0.3333 0.9863
0.6711 0.8355 0.3414
0.8355 0.1645 0.6586
0.8355 0.6711 0.6586
```

Results
Crystal system   trigonal
DOS at the Fermi energy   4.1 states/eV/cell
M_tot   1.00 μB per formula unit
E_tot   -6.965 eV per atom